w.
! K3Cd2Cl7 PBE relaxed; values from VASP
! Symmetry: No. 65
! DOS at the Fermi energy: 0.00 states/eV/f.u.
! Volume: 364.12 Å³/cell
&SYSTEM
  ibrav = 0, nat = 12, ntyp = 3
/
ATOMIC_SPECIES
Cd 112.41 Cd.upf
K 39.10 K.upf
Cl 35.45 Cl.upf
ATOMIC_POSITIONS crystal
Cd 0.000 0.102 0.204
Cd 0.000 0.898 0.796
K 0.500 0.675 0.350
K 0.500 0.500 0.000
K 0.500 0.325 0.650
Cl 0.500 0.096 0.192
Cl 0.000 0.801 0.603
Cl 0.000 0.405 0.809
Cl 0.000 0.595 0.191
Cl 0.000 0.000 0.000
Cl 0.000 0.199 0.397
Cl 0.500 0.904 0.808
CELL_PARAMETERS angstrom
5.204 0.000 0.000
0.000 5.330 0.000
0.000 -2.665 13.127



x.
! K3Cd2Cl7 PBE relaxed; values from VASP
! Symmetry: No. 139
! DOS at the Fermi energy: 0.00 states/eV/f.u.
! Volume: 360.58 Å³/cell
&SYSTEM
  ibrav = 0, nat = 12, ntyp = 3
/
ATOMIC_SPECIES
Cl 35.45 Cl.upf
K 39.10 K.upf
Cd 112.41 Cd.upf
ATOMIC_POSITIONS crystal
Cl 0.000 0.000 0.000
Cl 0.403 0.903 0.806
Cl 0.597 0.097 0.194
Cl 0.201 0.201 0.402
Cl 0.903 0.403 0.806
Cl 0.799 0.799 0.598
Cl 0.097 0.597 0.194
K 0.321 0.321 0.641
K 0.679 0.679 0.359
K 0.500 0.500 0.000
Cd 0.898 0.898 0.795
Cd 0.102 0.102 0.205
CELL_PARAMETERS angstrom
5.184 0.000 -0.974
-0.183 5.181 -0.974
-0.149 -0.155 13.485



Unit: meV per atom. Relative energies: w 30; x 0.



w.
! KCdCl4 PBE relaxed; values from VASP
! Symmetry: No. 123
! DOS at the Fermi energy: 5.67 states/eV/f.u.
! Volume: 165.76 Å³/cell
&SYSTEM
  ibrav = 0, nat = 6, ntyp = 3
/
ATOMIC_SPECIES
Cl 35.45 Cl.upf
K 39.10 K.upf
Cd 112.41 Cd.upf
ATOMIC_POSITIONS crystal
Cl 0.500 0.000 0.714
Cl 0.000 0.500 0.714
Cl 0.000 0.500 0.286
Cl 0.500 0.000 0.286
K 0.000 0.000 0.000
Cd 0.500 0.500 0.500
CELL_PARAMETERS angstrom
-0.582 4.200 -1.860
-4.064 0.403 2.182
3.574 3.184 6.070



x.
! KCdCl4 PBE relaxed; values from VASP
! Symmetry: No. 216
! DOS at the Fermi energy: 1.76 states/eV/f.u.
! Volume: 168.30 Å³/cell
&SYSTEM
  ibrav = 0, nat = 6, ntyp = 3
/
ATOMIC_SPECIES
Cl 35.45 Cl.upf
K 39.10 K.upf
Cd 112.41 Cd.upf
ATOMIC_POSITIONS crystal
Cl 0.375 0.375 0.875
Cl 0.375 0.375 0.375
Cl 0.375 0.875 0.375
Cl 0.875 0.375 0.375
K 0.750 0.750 0.750
Cd 0.000 0.000 0.000
CELL_PARAMETERS angstrom
-2.292 -1.242 5.622
0.502 4.183 4.545
-5.034 2.994 2.026



Unit: meV per atom. Relative energies: w 0; x 702.



w.
! KCdP2Cl PBE relaxed; values from VASP
! Symmetry: No. 123
! DOS at the Fermi energy: 0.00 states/eV/f.u.
! Volume: 277.66 Å³/cell
&SYSTEM
  ibrav = 0, nat = 5, ntyp = 4
/
ATOMIC_SPECIES
Cl 35.45 Cl.upf
P 30.97 P.upf
Cd 112.41 Cd.upf
K 39.10 K.upf
ATOMIC_POSITIONS crystal
Cl 0.000 0.000 0.500
P 0.000 0.500 0.000
P 0.500 0.000 0.000
Cd 0.500 0.500 0.500
K 0.000 0.000 0.000
CELL_PARAMETERS angstrom
-2.186 6.036 -2.738
-6.578 -1.625 1.669
0.658 2.535 5.064



x.
! KCdP2Cl PBE relaxed; values from VASP
! Symmetry: No. 123
! DOS at the Fermi energy: 2.28 states/eV/f.u.
! Volume: 150.68 Å³/cell
&SYSTEM
  ibrav = 0, nat = 5, ntyp = 4
/
ATOMIC_SPECIES
Cd 112.41 Cd.upf
P 30.97 P.upf
K 39.10 K.upf
Cl 35.45 Cl.upf
ATOMIC_POSITIONS crystal
Cd 0.000 0.000 0.000
P 0.500 0.000 0.000
P 0.000 0.500 0.000
K 0.500 0.500 0.500
Cl 0.000 0.000 0.500
CELL_PARAMETERS angstrom
-1.668 -2.390 -4.067
-3.179 -2.617 2.841
-4.193 4.249 -0.778



Unit: meV per atom. Relative energies: w 780; x 0.



w.
! KCdPCl2 PBE relaxed; values from VASP
! Symmetry: No. 123
! DOS at the Fermi energy: 4.20 states/eV/f.u.
! Volume: 201.31 Å³/cell
&SYSTEM
  ibrav = 0, nat = 5, ntyp = 4
/
ATOMIC_SPECIES
K 39.10 K.upf
Cd 112.41 Cd.upf
Cl 35.45 Cl.upf
P 30.97 P.upf
ATOMIC_POSITIONS crystal
K 0.000 0.000 0.000
Cd 0.500 0.500 0.500
Cl 0.000 0.500 0.000
Cl 0.500 0.000 0.000
P 0.000 0.000 0.500
CELL_PARAMETERS angstrom
5.741 0.000 0.000
0.000 5.741 0.000
0.000 0.000 6.108



x.
! KCdPCl2 PBE relaxed; values from VASP
! Symmetry: No. 123
! DOS at the Fermi energy: 0.31 states/eV/f.u.
! Volume: 157.00 Å³/cell
&SYSTEM
  ibrav = 0, nat = 5, ntyp = 4
/
ATOMIC_SPECIES
Cl 35.45 Cl.upf
P 30.97 P.upf
Cd 112.41 Cd.upf
K 39.10 K.upf
ATOMIC_POSITIONS crystal
Cl 0.000 0.500 0.000
Cl 0.500 0.000 0.000
P 0.000 0.000 0.500
Cd 0.000 0.000 0.000
K 0.500 0.500 0.500
CELL_PARAMETERS angstrom
-3.583 4.244 -0.377
-3.681 -3.332 -2.519
-1.952 -1.248 4.505



Unit: meV per atom. Relative energies: w 773; x 0.



w.
! La3CdCl PBE relaxed; values from VASP
! Symmetry: No. 12
! DOS at the Fermi energy: 6.67 states/eV/f.u.
! Volume: 312.89 Å³/cell
&SYSTEM
  ibrav = 0, nat = 10, ntyp = 3
/
ATOMIC_SPECIES
La 138.91 La.upf
Cd 112.41 Cd.upf
Cl 35.45 Cl.upf
ATOMIC_POSITIONS crystal
La 0.429 0.498 0.366
La 0.280 0.796 0.969
La 0.996 0.364 0.024
La 0.654 0.048 0.248
La 0.087 0.181 0.590
La 0.803 0.750 0.644
Cd 0.632 0.091 0.867
Cd 0.451 0.454 0.747
Cl 0.244 0.869 0.433
Cl 0.839 0.677 0.180
CELL_PARAMETERS angstrom
4.010 0.000 0.000
2.005 8.130 0.477
0.000 -0.252 9.582



x.
! La3CdCl PBE relaxed; values from VASP
! Symmetry: No. 221
! DOS at the Fermi energy: 3.92 states/eV/f.u.
! Volume: 164.11 Å³/cell
&SYSTEM
  ibrav = 0, nat = 5, ntyp = 3
/
ATOMIC_SPECIES
Cd 112.41 Cd.upf
La 138.91 La.upf
Cl 35.45 Cl.upf
ATOMIC_POSITIONS crystal
Cd 0.500 0.500 0.500
La 0.000 0.500 0.000
La 0.000 0.000 0.500
La 0.500 0.000 0.000
Cl 0.000 0.000 0.000
CELL_PARAMETERS angstrom
-0.641 0.000 -5.437
-0.549 -5.447 0.064
-5.410 0.553 0.637



Unit: meV per atom. Relative energies: w 0; x 104.



w.
! La4Cd2Cl PBE relaxed; values from VASP
! Symmetry: No. 12
! DOS at the Fermi energy: 8.70 states/eV/f.u.
! Volume: 221.12 Å³/cell
&SYSTEM
  ibrav = 0, nat = 7, ntyp = 3
/
ATOMIC_SPECIES
Cd 112.41 Cd.upf
La 138.91 La.upf
Cl 35.45 Cl.upf
ATOMIC_POSITIONS crystal
Cd 0.378 0.575 0.669
Cd 0.622 0.425 0.331
La 0.669 0.738 0.925
La 0.911 0.814 0.364
La 0.089 0.186 0.636
La 0.331 0.262 0.075
Cl 0.000 0.000 0.000
CELL_PARAMETERS angstrom
-3.466 1.760 1.688
-0.338 -1.971 6.681
2.801 6.510 4.285



x.
! La4Cd2Cl PBE relaxed; values from VASP
! Symmetry: No. 139
! DOS at the Fermi energy: 6.21 states/eV/f.u.
! Volume: 237.40 Å³/cell
&SYSTEM
  ibrav = 0, nat = 7, ntyp = 3
/
ATOMIC_SPECIES
La 138.91 La.upf
Cl 35.45 Cl.upf
Cd 112.41 Cd.upf
ATOMIC_POSITIONS crystal
La 0.000 0.500 0.000
La 0.185 0.185 0.370
La 0.500 0.000 0.000
La 0.815 0.815 0.630
Cl 0.000 0.000 0.000
Cd 0.615 0.615 0.230
Cd 0.385 0.385 0.770
CELL_PARAMETERS angstrom
5.508 0.000 0.000
0.000 5.508 0.000
-2.754 -2.754 7.825



Unit: meV per atom. Relative energies: w 0; x 124.